No. 1
Zr2GaPdPb | GGA-PBE | relaxed

```
data_Zr2GaPdPb
_cell_length_a 5.1270
_cell_length_b 5.1270
_cell_length_c 5.0449
_cell_angle_alpha 90.00
_cell_angle_beta 90.00
_cell_angle_gamma 90.00
_symmetry_space_group_name_H-M 'P 4/m m m'
_symmetry_Int_Tables_number 123
_symmetry_space_group_name_Hall '-P 4 2'
loop_
_atom_site_label
_atom_site_type_symbol
_atom_site_fract_x
_atom_site_fract_y
_atom_site_fract_z
_atom_site_occupancy
Zr1 Zr 0.0000 0.5000 0.0000 1
Ga1 Ga 0.0000 0.0000 0.5000 1
Pd1 Pd 0.5000 0.5000 0.0000 1
Pb1 Pb 0.5000 0.5000 0.5000 1
```

N(E_F) ... 0.57 states/eV per atom
Crystal system ... tetragonal
Energy relative to the elements ... 418.9 meV per atom

---

No. 2
Zn5PtAu2 | GGA-PBE | relaxed

```
data_Zn5PtAu2
_cell_length_a 3.9773
_cell_length_b 3.9773
_cell_length_c 15.7336
_cell_angle_alpha 90.00
_cell_angle_beta 90.00
_cell_angle_gamma 90.00
_symmetry_space_group_name_H-M 'I 4/m m m'
_symmetry_Int_Tables_number 139
_symmetry_space_group_name_Hall '-I 4 2'
loop_
_atom_site_label
_atom_site_type_symbol
_atom_site_fract_x
_atom_site_fract_y
_atom_site_fract_z
_atom_site_occupancy
Zn1 Zn 0.0000 0.0000 0.0000 1
Zn2 Zn 0.0000 0.5000 0.1181 1
Pt1 Pt 0.0000 0.0000 0.5000 1
Au1 Au 0.0000 0.0000 0.2346 1
```

N(E_F) ... 0.28 states/eV per atom
Crystal system ... tetragonal
Energy relative to the elements ... -272.1 meV per atom

---

No. 3
TlTe2MoW | GGA-PBE | relaxed

```
data_TlTe2MoW
_cell_length_a 5.2522
_cell_length_b 5.2522
_cell_length_c 5.3771
_cell_angle_alpha 90.00
_cell_angle_beta 90.00
_cell_angle_gamma 90.00
_symmetry_space_group_name_H-M 'P 4/m m m'
_symmetry_Int_Tables_number 123
_symmetry_space_group_name_Hall '-P 4 2'
loop_
_atom_site_label
_atom_site_type_symbol
_atom_site_fract_x
_atom_site_fract_y
_atom_site_fract_z
_atom_site_occupancy
Tl1 Tl 0.0000 0.0000 0.0000 1
Te1 Te 0.0000 0.5000 0.5000 1
Mo1 Mo 0.0000 0.0000 0.5000 1
W1 W 0.5000 0.5000 0.0000 1
```

N(E_F) ... 0.84 states/eV per atom
Crystal system ... tetragonal
Total DFT energy (no corrections) ... -4.97 eV per atom

---

No. 4
PrEuCuNi | GGA-PBE | relaxed

```
data_PrEuCuNi
_cell_length_a 7.1112
_cell_length_b 7.1112
_cell_length_c 7.1112
_cell_angle_alpha 90.00
_cell_angle_beta 90.00
_cell_angle_gamma 90.00
_symmetry_space_group_name_H-M 'F -4 3 m'
_symmetry_Int_Tables_number 216
_symmetry_space_group_name_Hall 'F -4 2 3'
loop_
_atom_site_label
_atom_site_type_symbol
_atom_site_fract_x
_atom_site_fract_y
_atom_site_fract_z
_atom_site_occupancy
Pr1 Pr 0.0000 0.0000 0.0000 1
Eu1 Eu 0.0000 0.0000 0.5000 1
Cu1 Cu 0.2500 0.2500 0.2500 1
Ni1 Ni 0.2500 0.2500 0.7500 1
```

N(E_F) ... 1.71 states/eV per atom
Crystal system ... cubic
Energy relative to the elements ... -110.7 meV per atom

---

No. 5
CaHgMo2 | GGA-PBE | relaxed

```
data_CaHgMo2
_cell_length_a 11.0380
_cell_length_b 3.3609
_cell_length_c 5.0326
_cell_angle_alpha 90.00
_cell_angle_beta 109.26
_cell_angle_gamma 90.00
_symmetry_space_group_name_H-M 'C 1 2/m 1'
_symmetry_Int_Tables_number 12
_symmetry_space_group_name_Hall '-C 2y'
loop_
_atom_site_label
_atom_site_type_symbol
_atom_site_fract_x
_atom_site_fract_y
_atom_site_fract_z
_atom_site_occupancy
Ca1 Ca 0.0000 0.0000 0.0000 1
Hg1 Hg 0.0000 0.5000 0.5000 1
Mo1 Mo 0.2335 0.0000 0.6579 1
```

N(E_F) ... 0.91 states/eV per atom
Crystal system ... monoclinic
Energy relative to the elements ... 542.1 meV per atom

---

No. 6
LaPrSI | GGA-PBE | relaxed

```
data_LaPrSI
_cell_length_a 4.1195
_cell_length_b 4.1195
_cell_length_c 24.1015
_cell_angle_alpha 90.00
_cell_angle_beta 90.00
_cell_angle_gamma 120.00
_symmetry_space_group_name_H-M 'R 3 m'
_symmetry_Int_Tables_number 160
_symmetry_space_group_name_Hall 'R 3 -2"'
loop_
_atom_site_label
_atom_site_type_symbol
_atom_site_fract_x
_atom_site_fract_y
_atom_site_fract_z
_atom_site_occupancy
La1 La 0.0000 0.0000 0.0000 1
Pr1 Pr 0.0000 0.0000 0.2023 1
S1 S 0.0000 0.0000 0.6007 1
I1 I 0.0000 0.0000 0.7703 1
```

N(E_F) ... 0.87 states/eV per atom
Crystal system ... trigonal
Total DFT energy (no corrections) ... -5.37 eV per atom